Entry 1:
DFT (PBE) results for a relaxed structure of Re4Pt.

Geometry as extended XYZ:
```
5
Lattice="1.5913 -3.4563 -2.9044 1.7109 1.6652 4.1489 -4.0525 -2.0283 1.5415" Properties=species:S:1:pos:R:3 pbc="T T T"
Pt 0.0000 0.0000 0.0000
Re -1.4455 -1.2381 2.0535
Re 0.6952 -2.5813 0.7325
Re 1.1708 -0.5029 2.4616
Re -1.9212 -3.3165 0.3245
```

Total DFT energy (no corrections) ... -11.1858 eV per atom
E_form ... -0.0192 eV/atom
V ... 75.18 Å³/cell
Symmetry ... No. 87

=====

Entry 2:
DFT (PBE) results for a relaxed structure of ThAl3Ga.

Geometry as extended XYZ:
```
5
Lattice="-3.7618 0.6815 -1.7998 -0.2472 -4.0930 -1.0199 -4.5474 -2.7753 3.5087" Properties=species:S:1:pos:R:3 pbc="T T T"
Al -2.5128 -2.8752 0.6745
Al -4.5159 -4.5820 -0.7349
Th -5.6585 -3.0673 2.2231
Al -3.6903 -2.2403 -1.5908
Ga -3.3420 -5.2182 1.5400
```

Total DFT energy (no corrections) ... -4.6589 eV per atom
E_form ... -0.3240 eV/atom
V ... 100.69 Å³/cell
Symmetry ... No. 42

=====

Entry 3:
DFT (PBE) results for a relaxed structure of Tb2YCd.

Geometry as extended XYZ:
```
4
Lattice="-3.3449 -0.4642 -1.3043 -2.3008 -2.2381 1.6741 -5.3873 7.2499 6.2065" Properties=species:S:1:pos:R:3 pbc="T T T"
Tb -2.6985 0.9983 1.5406
Cd -3.7653 -1.7978 0.2493
Tb -4.5699 5.3472 4.7867
Y -5.5158 2.2738 3.2879
```

Total DFT energy (no corrections) ... -4.2222 eV per atom
E_form ... -0.0623 eV/atom
V ... 122.10 Å³/cell
Symmetry ... No. 160

=====

Entry 4:
DFT (PBE) results for a relaxed structure of PrAg2Pd4.

Geometry as extended XYZ:
```
7
Lattice="-2.1426 0.1428 4.9949 2.3493 -3.0580 4.0731 1.8690 3.8070 3.6708" Properties=species:S:1:pos:R:3 pbc="T T T"
Pd -0.0708 -1.7490 5.9482
Ag 1.5743 0.4101 5.1179
Pd -0.3613 2.4015 5.7049
Pd 2.4369 -1.5097 7.0339
Pd 2.1464 2.6407 6.7906
Ag 0.5014 0.4817 7.6208
Pr -0.0001 0.0000 0.0002
```

Total DFT energy (no corrections) ... -4.8515 eV per atom
E_form ... -0.3867 eV/atom
V ... 130.35 Å³/cell
Symmetry ... No. 12

=====

Q: Among the records above, which one has the highest total DFT energy (no corrections)?
A: Tb2YCd

=====

Q: What is the total DFT energy (no corrections) in the first record?
A: -11.1858 eV per atom